Record 1
# ReTc2Cl

A relaxed structure of ReTc2Cl (PBE, Alexandria).

density	12.04	g/cm3
size of the total moment	0.00	μB per atom
E_form (uncorrected)	0.66	eV/atom
DOS at the Fermi energy	0.8726	states/eV/atom

abc: 2.888 4.437 8.990
angles: 90.00 90.00 90.00
Space group Imm2 (No. 44)
Asymmetric unit:
Re  0.000  0.000  0.000
Tc  0.000  0.000  0.542
Tc  0.000  0.500  0.768
Cl  0.000  0.500  0.268


Record 2
# ReTc2Cl

A relaxed structure of ReTc2Cl (PBE, Alexandria).

density	11.71	g/cm3
size of the total moment	0.00	μB per atom
E_form (uncorrected)	0.91	eV/atom
DOS at the Fermi energy	0.8070	states/eV/atom

abc: 2.871 4.494 4.590
angles: 90.00 90.00 90.00
Space group Pmmm (No. 47)
Asymmetric unit:
Re  0.000  0.000  0.000
Tc  0.000  0.500  0.500
Tc  0.500  0.500  0.000
Cl  0.500  0.000  0.500


Record 3
# Re4TcCl

A relaxed structure of Re4TcCl (PBE, Alexandria).

density	14.63	g/cm3
size of the total moment	0.00	μB per atom
E_form (uncorrected)	1.12	eV/atom
DOS at the Fermi energy	1.1008	states/eV/atom

abc: 7.360 7.360 7.360
angles: 90.00 90.00 90.00
Space group F-43m (No. 216)
Asymmetric unit:
Re  0.125  0.125  0.125
Tc  0.000  0.000  0.500
Cl  0.250  0.250  0.750


Record 4
# ReTcCl4

A relaxed structure of ReTcCl4 (PBE, Alexandria).

density	5.27	g/cm3
size of the total moment	0.34	μB per atom
E_form (uncorrected)	1.71	eV/atom
DOS at the Fermi energy	0.7422	states/eV/atom

abc: 8.128 8.128 8.128
angles: 90.00 90.00 90.00
Space group F-43m (No. 216)
Asymmetric unit:
Re  0.000  0.000  0.000
Tc  0.250  0.250  0.750
Cl  0.125  0.125  0.375


Record 5
# ReTc2Cl

A relaxed structure of ReTc2Cl (PBE, Alexandria).

density	11.66	g/cm3
size of the total moment	0.00	μB per atom
E_form (uncorrected)	0.51	eV/atom
DOS at the Fermi energy	0.9954	states/eV/atom

abc: 2.865 2.865 7.248
angles: 90.00 90.00 90.00
Space group P4mm (No. 99)
Asymmetric unit:
Re  0.000  0.000  0.000
Tc  0.000  0.000  0.492
Tc  0.500  0.500  0.237
Cl  0.500  0.500  0.733


Record 6
# ReTc2Cl

A relaxed structure of ReTc2Cl (PBE, Alexandria).

density	11.52	g/cm3
size of the total moment	0.00	μB per atom
E_form (uncorrected)	0.92	eV/atom
DOS at the Fermi energy	0.9077	states/eV/atom

abc: 6.221 6.221 6.221
angles: 90.00 90.00 90.00
Space group Fm-3m (No. 225)
Asymmetric unit:
Re  0.000  0.000  0.000
Tc  0.250  0.250  0.250
Cl  0.000  0.000  0.500